# 1
LiLaBr2 | PBEsol | optimized geometry

Cell lengths 4.0786, 4.2074, 6.1289 Å; angles 110.07, 90.02, 90.00 degrees
Last column: nearest neighbours and their distance in Å.
Atoms (fractional coordinates):
Br: 0.1249 0.9730 0.9459  1 Li 2.49
Br: 0.6241 0.2398 0.4796  4 Li 2.93-2.94, 2 La 3.20
La: 0.6249 0.5307 0.0613  7 Br 3.00-3.35, 2 Li 3.30-3.31
Li: 0.1261 0.7566 0.5132  1 Br 2.49

Calculated values
Total magnetization   0.000 μB/atom
Space-group type   Amm2
ΔE to the lowest computed polymorph   202 meV/atom

---

# 2
ZrSbP2S | PBEsol | optimized geometry

Cell lengths 4.8220, 4.8558, 4.8558 Å; angles 90.00, 90.00, 90.00 degrees
Last column: nearest neighbours and their distance in Å.
Atoms (fractional coordinates):
Sb: 0.0000 0.0000 0.0000  2 S 2.41, 4 P 2.43
S: 0.5000 0.0000 0.0000  2 Sb 2.41
Zr: 0.5000 0.5000 0.5000  8 P 3.42, 4 S 3.43
P: 0.0000 0.0000 0.5000  2 Sb 2.43
P: 0.0000 0.5000 0.0000  2 Sb 2.43

Calculated values
Total magnetization   0.001 μB/atom
Space-group type   P4/mmm

---

Result set for density: 5.1 4.5 g/cm³, one per record in the order listed.
Result set for formation energy (no corrections): -1247 695 meV/atom, one per record in the order listed.